1.
{"formula": "CeCd5Pd2", "functional": "PBE", "state": "optimized geometry", "delta_e_f_mev_per_atom": -338, "dos_at_fermi_per_ev_fu": 9.1, "lattice": [[-2.0325, 4.3390, 4.9973], [2.0325, -4.3390, 4.9973], [2.0325, 4.3390, -4.9973]], "species": ["Ce", "Cd", "Cd", "Cd", "Cd", "Cd", "Pd", "Pd"], "fractional_positions": [[0.0000, 0.0000, 0.0000], [0.1593, 0.3474, 0.8119], [0.4645, 0.6526, 0.8119], [0.5000, 0.0000, 0.5000], [0.5355, 0.3474, 0.1881], [0.8407, 0.6526, 0.1881], [0.2145, 0.7145, 0.5000], [0.7855, 0.2855, 0.5000]]}

=====

2.
{"formula": "BaFeOs3", "functional": "PBE", "state": "optimized geometry", "delta_e_f_mev_per_atom": 1447, "dos_at_fermi_per_ev_fu": 5.2, "lattice": [[4.6249, 0.0000, 0.0000], [0.0000, 4.6249, 0.0000], [0.0000, 0.0000, 4.6249]], "species": ["Ba", "Fe", "Os", "Os", "Os"], "fractional_positions": [[0.0000, 0.0000, 0.0000], [0.5000, 0.5000, 0.5000], [0.0000, 0.5000, 0.5000], [0.5000, 0.0000, 0.5000], [0.5000, 0.5000, 0.0000]]}

=====

3.
{"formula": "Er2Al3Ga", "functional": "PBE", "state": "optimized geometry", "delta_e_f_mev_per_atom": -533, "dos_at_fermi_per_ev_fu": 3.8, "relative_energy_mev_per_atom": 0.0, "lattice": [[2.7517, 1.5887, 4.5092], [-2.7517, 1.5887, 4.5092], [0.0000, -3.1774, 4.5092]], "species": ["Er", "Er", "Al", "Al", "Al", "Ga"], "fractional_positions": [[0.1243, 0.1243, 0.1243], [0.8757, 0.8757, 0.8757], [0.0000, 0.5000, 0.5000], [0.5000, 0.0000, 0.5000], [0.5000, 0.5000, 0.0000], [0.5000, 0.5000, 0.5000]]}

=====

4.
{"formula": "Pm2FePt", "functional": "PBE", "state": "optimized geometry", "delta_e_f_mev_per_atom": -403, "dos_at_fermi_per_ev_fu": 4.5, "lattice": [[3.5602, 0.0000, 0.0000], [0.0000, 3.5602, 0.0000], [0.0000, 0.0000, 7.0072]], "species": ["Pm", "Pm", "Fe", "Pt"], "fractional_positions": [[0.0000, 0.0000, 0.2468], [0.0000, 0.0000, 0.7532], [0.5000, 0.5000, 0.0000], [0.5000, 0.5000, 0.5000]]}

=====

5.
{"formula": "NiMoN", "functional": "PBE", "state": "optimized geometry", "raw_formation_energy_mev_per_atom": -40.8, "dos_at_fermi_per_ev_fu": 2.9, "relative_energy_mev_per_atom": 0.0, "lattice": [[-1.3829, 1.3829, 8.5896], [1.3829, -1.3829, 8.5896], [1.3829, 1.3829, -8.5896]], "species": ["Ni", "Ni", "Mo", "Mo", "N", "N"], "fractional_positions": [[0.2011, 0.2011, 0.0000], [0.7989, 0.7989, 0.0000], [0.5672, 0.0672, 0.5000], [0.9328, 0.4328, 0.5000], [0.1162, 0.6162, 0.5000], [0.3838, 0.8838, 0.5000]]}

=====

6.
{"formula": "Pm5AsS4", "functional": "PBE", "state": "optimized geometry", "raw_formation_energy_mev_per_atom": -1937.6, "dos_at_fermi_per_ev_fu": 3.9, "lattice": [[-2.0398, 2.0398, 14.4054], [2.0398, -2.0398, 14.4054], [2.0398, 2.0398, -14.4054]], "species": ["Pm", "Pm", "Pm", "Pm", "Pm", "As", "S", "S", "S", "S"], "fractional_positions": [[0.0000, 0.0000, 0.0000], [0.2010, 0.2010, 0.0000], [0.3987, 0.3987, 0.0000], [0.6013, 0.6013, 0.0000], [0.7990, 0.7990, 0.0000], [0.5000, 0.5000, 0.0000], [0.1011, 0.1011, 0.0000], [0.2996, 0.2996, 0.0000], [0.7004, 0.7004, 0.0000], [0.8989, 0.8989, 0.0000]]}

=====

7.
{"formula": "BaAc2AuO5", "functional": "PBE", "state": "optimized geometry", "raw_formation_energy_mev_per_atom": -2374.8, "lattice": [[7.1649, 0.0000, 0.0000], [0.0000, 7.1649, 0.0000], [0.0000, 0.0000, 6.2870]], "species": ["Ba", "Ba", "Ac", "Ac", "Ac", "Ac", "Au", "Au", "O", "O", "O", "O", "O", "O", "O", "O", "O", "O"], "fractional_positions": [[0.0000, 0.0000, 0.0000], [0.5000, 0.5000, 0.0000], [0.1736, 0.3264, 0.5000], [0.3264, 0.8264, 0.5000], [0.6736, 0.1736, 0.5000], [0.8264, 0.6736, 0.5000], [0.0000, 0.5000, 0.0000], [0.5000, 0.0000, 0.0000], [0.0000, 0.0000, 0.5000], [0.1470, 0.6470, 0.2497], [0.1470, 0.6470, 0.7503], [0.3530, 0.1470, 0.2497], [0.3530, 0.1470, 0.7503], [0.5000, 0.5000, 0.5000], [0.6470, 0.8530, 0.2497], [0.6470, 0.8530, 0.7503], [0.8530, 0.3530, 0.2497], [0.8530, 0.3530, 0.7503]]}

=====

8.
{"formula": "NaSnSI", "functional": "PBE", "state": "optimized geometry", "raw_formation_energy_mev_per_atom": -735.8, "dos_at_fermi_per_ev_fu": 0.0, "lattice": [[2.0920, 1.2078, 7.8219], [-2.0920, 1.2078, 7.8219], [0.0000, -2.4157, 7.8219]], "species": ["Na", "Sn", "S", "I"], "fractional_positions": [[0.0000, 0.0000, 0.0000], [0.8047, 0.8047, 0.8047], [0.4093, 0.4093, 0.4093], [0.5797, 0.5797, 0.5797]]}

=====

9.
{"formula": "DyPuInHg", "functional": "PBE", "state": "optimized geometry", "delta_e_f_mev_per_atom": -279, "dos_at_fermi_per_ev_fu": 8.9, "relative_energy_mev_per_atom": 0.0, "lattice": [[3.3682, 0.0000, 0.0000], [0.0000, 3.3682, 0.0000], [0.0000, 0.0000, 9.0870]], "species": ["Dy", "Pu", "In", "Hg"], "fractional_positions": [[0.0000, 0.0000, 0.0000], [0.0000, 0.0000, 0.5103], [0.5000, 0.5000, 0.2501], [0.5000, 0.5000, 0.7638]]}

=====

10.
{"formula": "NaSb2", "functional": "PBE", "state": "optimized geometry", "raw_formation_energy_mev_per_atom": -157.8, "dos_at_fermi_per_ev_fu": 0.7, "relative_energy_mev_per_atom": 0.0, "lattice": [[-2.0116, 2.0116, 5.6111], [2.0116, -2.0116, 5.6111], [2.0116, 2.0116, -5.6111]], "species": ["Na", "Sb", "Sb"], "fractional_positions": [[0.0000, 0.0000, 0.0000], [0.3007, 0.3007, 0.0000], [0.6993, 0.6993, 0.0000]]}

=====

11.
{"formula": "Er2ZnRuC", "functional": "PBE", "state": "optimized geometry", "delta_e_f_mev_per_atom": -417, "dos_at_fermi_per_ev_fu": 1.6, "lattice": [[4.8953, 0.0000, 0.0000], [0.0000, 4.8953, 0.0000], [0.0000, 0.0000, 3.8926]], "species": ["Er", "Er", "Zn", "Ru", "C"], "fractional_positions": [[0.0000, 0.5000, 0.0000], [0.5000, 0.0000, 0.0000], [0.0000, 0.0000, 0.5000], [0.5000, 0.5000, 0.5000], [0.5000, 0.5000, 0.0000]]}

=====

12.
{"formula": "CuAg2Pt", "functional": "PBE", "state": "optimized geometry", "delta_e_f_mev_per_atom": 48, "dos_at_fermi_per_ev_fu": 1.7, "relative_energy_mev_per_atom": 67.6, "lattice": [[2.7688, -4.0473, 0.0000], [2.7688, 4.0473, 0.0000], [0.0000, 0.0000, 2.8476]], "species": ["Cu", "Ag", "Ag", "Pt"], "fractional_positions": [[0.0000, 0.0000, 0.0000], [0.0000, 0.5000, 0.5000], [0.5000, 0.0000, 0.5000], [0.5000, 0.5000, 0.0000]]}